Entry 1:
DFT (SCAN) results for Li3HCl at its PBEsol-relaxed geometry.

POSCAR file:
```
Li3HCl
1.0
4.120 0.000 0.000
0.000 4.120 0.000
0.000 0.000 4.120
Li H Cl
3 1 1
Cartesian
0.000 0.000 2.060
0.000 2.060 0.000
2.060 0.000 0.000
0.000 0.000 0.000
2.060 2.060 2.060
```

spin magnetization: 0.00 Bohr magnetons per cell
VASP energy: -21.7 eV for the cell shown

Entry 2:
DFT (SCAN) results for Li2TePb at its PBEsol-relaxed geometry.

POSCAR file:
```
Li2TePb
1.0
-2.289 2.289 4.369
2.289 -2.289 4.369
2.289 2.289 -4.369
Li Te Pb
2 1 1
Cartesian
2.289 0.000 2.184
0.000 2.289 2.184
0.000 0.000 0.000
0.000 0.000 4.369
```

formation energy (no corrections): -189 kJ/mol of formula units
spin magnetization: 0.01 Bohr magnetons per cell
polymorph energy (0 for the lowest one): 108 meV per atom
VASP energy: -119.8 eV for the cell shown

Entry 3:
DFT (SCAN) results for Ho2V2O7 at its PBEsol-relaxed geometry.

POSCAR file:
```
Ho2V2O7
1.0
0.000 4.958 4.958
4.958 0.000 4.958
4.958 4.958 0.000
Ho V O
4 4 14
Cartesian
0.000 0.000 0.000
2.479 2.479 0.000
2.479 0.000 2.479
0.000 2.479 2.479
4.958 2.479 2.479
2.479 4.958 2.479
2.479 2.479 4.958
4.958 4.958 4.958
1.239 1.239 1.239
3.718 3.718 1.696
3.718 1.696 3.718
5.741 3.718 3.718
6.197 6.197 4.175
6.197 4.175 6.197
8.220 6.197 6.197
1.696 3.718 3.718
3.718 5.741 3.718
3.718 3.718 5.741
4.175 6.197 6.197
6.197 8.220 6.197
6.197 6.197 8.220
8.676 8.676 8.676
```

formation energy (no corrections): -3493 kJ/mol of formula units
spin magnetization: 4.00 Bohr magnetons per cell
polymorph energy (0 for the lowest one): 0 meV per atom
VASP energy: -425.5 eV for the cell shown

Entry 4:
DFT (SCAN) results for Sr3CaSi8 at its PBEsol-relaxed geometry.

POSCAR file:
```
Sr3CaSi8
1.0
4.550 2.627 3.745
-4.550 2.627 3.745
0.000 -5.254 3.745
Sr Ca Si
3 1 8
Cartesian
-1.137 -3.285 3.745
-2.276 2.627 3.745
3.413 0.657 3.745
0.000 0.000 5.618
-2.940 -0.909 4.865
0.000 0.000 2.316
-2.940 0.909 6.371
0.683 -3.000 6.371
2.257 -2.092 4.865
0.683 3.001 4.865
0.000 0.000 8.920
2.257 2.092 6.371
```

formation energy (no corrections): -432 kJ/mol of formula units
spin magnetization: 0.00 Bohr magnetons per cell
VASP energy: -161.1 eV for the cell shown

Entry 5:
DFT (SCAN) results for Mg2AlSb at its PBEsol-relaxed geometry.

POSCAR file:
```
Mg2AlSb
1.0
3.101 -4.233 0.000
3.101 4.233 0.000
0.000 0.000 3.274
Mg Al Sb
2 1 1
Cartesian
1.550 2.116 0.000
1.550 -2.116 0.000
0.000 0.000 1.637
3.101 0.000 1.637
```

formation energy (no corrections): -17 kJ/mol of formula units
spin magnetization: 0.02 Bohr magnetons per cell
polymorph energy (0 for the lowest one): 31 meV per atom
VASP energy: -55.1 eV for the cell shown

Entry 6:
DFT (SCAN) results for SbSeCl2 at its PBEsol-relaxed geometry.

POSCAR file:
```
SbSeCl2
1.0
3.124 0.000 0.000
0.000 4.307 0.000
0.000 0.000 6.167
Sb Se Cl
1 1 2
Cartesian
0.000 0.000 0.000
0.000 0.000 3.084
1.562 2.153 1.474
1.562 2.153 4.694
```

formation energy (no corrections): 72 kJ/mol of formula units
spin magnetization: 0.81 Bohr magnetons per cell
polymorph energy (0 for the lowest one): 580 meV per atom
VASP energy: -72.5 eV for the cell shown

Entry 7:
DFT (SCAN) results for BaBiSb3 at its PBEsol-relaxed geometry.

POSCAR file:
```
BaBiSb3
1.0
5.964 0.000 0.000
0.000 5.964 0.000
0.000 0.000 5.964
Ba Bi Sb
1 1 3
Cartesian
0.000 0.000 0.000
2.982 2.982 2.982
0.000 0.000 2.982
0.000 2.982 0.000
2.982 0.000 0.000
```

formation energy (no corrections): 562 kJ/mol of formula units
spin magnetization: 0.00 Bohr magnetons per cell
VASP energy: -224.1 eV for the cell shown

Entry 8:
DFT (SCAN) results for Zr2MnOsN at its PBEsol-relaxed geometry.

POSCAR file:
```
Zr2MnOsN
1.0
4.508 0.000 0.000
0.000 4.508 0.000
0.000 0.000 3.534
Zr Mn Os N
2 1 1 1
Cartesian
0.000 2.254 0.000
2.254 0.000 0.000
0.000 0.000 1.767
2.254 2.254 1.767
0.000 0.000 0.000
```

formation energy (no corrections): -410 kJ/mol of formula units
spin magnetization: 0.00 Bohr magnetons per cell
VASP energy: -165.1 eV for the cell shown